(1)
The following is a GGA-PBE calculation of HfSbMo3 after structural relaxation, from Alexandria.

For the total energy, the calculation gives -7.6769 eV per atom. The value obtained for the relative energy among the computed polymorphs is 0 meV/atom. The value obtained for the energy relative to the elements, uncorrected is 1.64 eV/atom.

The space group is Pm-3m (No. 221) and the conventional cell measures 4.850, 4.850 and 4.850 Å, with angles of 90.00, 90.00 and 90.00 degrees. The asymmetric unit holds Hf at (0.000, 0.000, 0.000), Sb at (0.500, 0.500, 0.500) and Mo at (0.000, 0.500, 0.500).



(2)
The following is a GGA-PBE calculation of Hf2SbMo after structural relaxation, from Alexandria.

For the total energy, the calculation gives -8.2289 eV per atom. The value obtained for the energy relative to the elements, uncorrected is 0.49 eV/atom.

The space group is I-42d (No. 122) and the conventional cell measures 4.200, 4.200 and 19.924 Å, with angles of 90.00, 90.00 and 90.00 degrees. The asymmetric unit holds Hf at (0.249, 0.250, 0.125), Sb at (0.000, 0.000, 0.500) and Mo at (0.000, 0.000, 0.000).